No. 1
! PuPaNi2 PBE relaxed; values from VASP
! Energy above the most stable polymorph in this dataset = 0.000 eV/atom
! N(E_F) = 8.38 states/eV per cell
! Calculated formation energy = -163 meV per atom
! Uncorrected energy = -9.01 eV/atom
! Theoretical density = 12.836 g/cm³
&SYSTEM
  ibrav = 0, nat = 4, ntyp = 3
/
ATOMIC_SPECIES
Pu 244.00 Pu.upf
Pa 231.04 Pa.upf
Ni 58.69 Ni.upf
CELL_PARAMETERS angstrom
3.414 0.000 0.000
0.000 3.414 0.000
0.000 0.000 6.576
ATOMIC_POSITIONS crystal
Pu 0.000 0.000 0.000
Pa 0.000 0.000 0.500
Ni 0.500 0.500 0.291
Ni 0.500 0.500 0.709

---

No. 2
! PuPa2Ni2 PBE relaxed; values from VASP
! N(E_F) = 19.43 states/eV per cell
! Calculated formation energy = -204 meV per atom
! Uncorrected energy = -9.18 eV/atom
! Theoretical density = 13.884 g/cm³
&SYSTEM
  ibrav = 0, nat = 10, ntyp = 3
/
ATOMIC_SPECIES
Pu 244.00 Pu.upf
Pa 231.04 Pa.upf
Ni 58.69 Ni.upf
CELL_PARAMETERS angstrom
7.694 0.000 0.000
0.000 7.694 0.000
0.000 0.000 3.327
ATOMIC_POSITIONS crystal
Pu 0.000 0.000 0.000
Pu 0.500 0.500 0.000
Pa 0.178 0.322 0.500
Pa 0.322 0.822 0.500
Pa 0.678 0.178 0.500
Pa 0.822 0.678 0.500
Ni 0.116 0.616 0.000
Ni 0.384 0.116 0.000
Ni 0.616 0.884 0.000
Ni 0.884 0.384 0.000

---

No. 3
! PuPa2Ni9 PBE relaxed; values from VASP
! N(E_F) = 21.82 states/eV per cell
! Calculated formation energy = -345 meV per atom
! Uncorrected energy = -7.46 eV/atom
! Theoretical density = 11.937 g/cm³
&SYSTEM
  ibrav = 0, nat = 12, ntyp = 3
/
ATOMIC_SPECIES
Pu 244.00 Pu.upf
Pa 231.04 Pa.upf
Ni 58.69 Ni.upf
CELL_PARAMETERS angstrom
2.462 1.422 8.175
-2.462 1.422 8.175
0.000 -2.843 8.175
ATOMIC_POSITIONS crystal
Pu 0.000 0.000 0.000
Pa 0.138 0.138 0.138
Pa 0.862 0.862 0.862
Ni 0.082 0.584 0.584
Ni 0.333 0.333 0.333
Ni 0.416 0.416 0.918
Ni 0.416 0.918 0.416
Ni 0.500 0.500 0.500
Ni 0.584 0.082 0.584
Ni 0.584 0.584 0.082
Ni 0.667 0.667 0.667
Ni 0.918 0.416 0.416

---

No. 4
! Pu2PaNi9 PBE relaxed; values from VASP
! N(E_F) = 24.09 states/eV per cell
! Calculated formation energy = -324 meV per atom
! Uncorrected energy = -7.84 eV/atom
! Theoretical density = 12.164 g/cm³
&SYSTEM
  ibrav = 0, nat = 12, ntyp = 3
/
ATOMIC_SPECIES
Pu 244.00 Pu.upf
Pa 231.04 Pa.upf
Ni 58.69 Ni.upf
CELL_PARAMETERS angstrom
2.454 1.417 8.164
-2.454 1.417 8.164
0.000 -2.833 8.164
ATOMIC_POSITIONS crystal
Pu 0.143 0.143 0.143
Pu 0.857 0.857 0.857
Pa 0.000 0.000 0.000
Ni 0.081 0.582 0.582
Ni 0.333 0.333 0.333
Ni 0.418 0.418 0.919
Ni 0.418 0.919 0.418
Ni 0.500 0.500 0.500
Ni 0.582 0.081 0.582
Ni 0.582 0.582 0.081
Ni 0.667 0.667 0.667
Ni 0.919 0.418 0.418

---

No. 5
! PuPaNi10 PBE relaxed; values from VASP
! N(E_F) = 22.51 states/eV per cell
! Calculated formation energy = -288 meV per atom
! Uncorrected energy = -7.09 eV/atom
! Theoretical density = 10.844 g/cm³
&SYSTEM
  ibrav = 0, nat = 12, ntyp = 3
/
ATOMIC_SPECIES
Pu 244.00 Pu.upf
Pa 231.04 Pa.upf
Ni 58.69 Ni.upf
CELL_PARAMETERS angstrom
3.975 0.000 0.000
0.000 4.863 0.000
0.000 0.000 8.413
ATOMIC_POSITIONS crystal
Pu 0.000 0.000 0.000
Pa 0.000 0.500 0.500
Ni 0.000 0.000 0.337
Ni 0.000 0.000 0.663
Ni 0.000 0.500 0.170
Ni 0.000 0.500 0.830
Ni 0.500 0.000 0.500
Ni 0.500 0.252 0.253
Ni 0.500 0.252 0.747
Ni 0.500 0.500 0.000
Ni 0.500 0.748 0.253
Ni 0.500 0.748 0.747

---

No. 6
! Pu2PaNi PBE relaxed; values from VASP
! Energy above the most stable polymorph in this dataset = 0.000 eV/atom
! N(E_F) = 10.84 states/eV per cell
! Calculated formation energy = -7 meV per atom
! Uncorrected energy = -10.99 eV/atom
! Theoretical density = 15.540 g/cm³
&SYSTEM
  ibrav = 0, nat = 4, ntyp = 3
/
ATOMIC_SPECIES
Pu 244.00 Pu.upf
Pa 231.04 Pa.upf
Ni 58.69 Ni.upf
CELL_PARAMETERS angstrom
3.431 0.000 0.000
0.000 3.431 0.000
0.000 0.000 7.058
ATOMIC_POSITIONS crystal
Pu 0.000 0.000 0.219
Pu 0.000 0.000 0.781
Pa 0.500 0.500 0.500
Ni 0.500 0.500 0.000

---

No. 7
! PuPa2Ni9 PBE relaxed; values from VASP
! N(E_F) = 44.56 states/eV per cell
! Calculated formation energy = -345 meV per atom
! Uncorrected energy = -7.46 eV/atom
! Theoretical density = 11.951 g/cm³
&SYSTEM
  ibrav = 0, nat = 24, ntyp = 3
/
ATOMIC_SPECIES
Pu 244.00 Pu.upf
Pa 231.04 Pa.upf
Ni 58.69 Ni.upf
CELL_PARAMETERS angstrom
4.919 0.000 0.000
-2.460 4.260 0.000
0.000 0.000 16.366
ATOMIC_POSITIONS crystal
Pu 0.333 0.667 0.250
Pu 0.667 0.333 0.750
Pa 0.333 0.667 0.042
Pa 0.333 0.667 0.458
Pa 0.667 0.333 0.542
Pa 0.667 0.333 0.958
Ni 0.000 0.000 0.000
Ni 0.000 0.000 0.250
Ni 0.000 0.000 0.500
Ni 0.000 0.000 0.750
Ni 0.167 0.334 0.626
Ni 0.167 0.334 0.874
Ni 0.167 0.833 0.626
Ni 0.167 0.833 0.874
Ni 0.333 0.667 0.750
Ni 0.334 0.167 0.126
Ni 0.334 0.167 0.374
Ni 0.666 0.833 0.626
Ni 0.666 0.833 0.874
Ni 0.667 0.333 0.250
Ni 0.833 0.167 0.126
Ni 0.833 0.167 0.374
Ni 0.833 0.666 0.126
Ni 0.833 0.666 0.374

---

No. 8
! Pu2PaNi PBE relaxed; values from VASP
! Energy above the most stable polymorph in this dataset = 0.124 eV/atom
! N(E_F) = 10.00 states/eV per cell
! Calculated formation energy = 118 meV per atom
! Uncorrected energy = -10.87 eV/atom
! Theoretical density = 15.159 g/cm³
&SYSTEM
  ibrav = 0, nat = 4, ntyp = 3
/
ATOMIC_SPECIES
Pu 244.00 Pu.upf
Pa 231.04 Pa.upf
Ni 58.69 Ni.upf
CELL_PARAMETERS angstrom
4.109 0.000 0.000
0.000 4.109 0.000
0.000 0.000 5.046
ATOMIC_POSITIONS crystal
Pu 0.000 0.500 0.000
Pu 0.500 0.000 0.000
Pa 0.000 0.000 0.500
Ni 0.500 0.500 0.500

---

No. 9
! PuPa4Ni PBE relaxed; values from VASP
! N(E_F) = 10.42 states/eV per cell
! Calculated formation energy = 124 meV per atom
! Uncorrected energy = -9.56 eV/atom
! Theoretical density = 14.466 g/cm³
&SYSTEM
  ibrav = 0, nat = 6, ntyp = 3
/
ATOMIC_SPECIES
Pu 244.00 Pu.upf
Pa 231.04 Pa.upf
Ni 58.69 Ni.upf
CELL_PARAMETERS angstrom
5.664 0.000 0.000
0.000 3.851 0.000
-2.625 0.000 6.456
ATOMIC_POSITIONS crystal
Pu 0.000 0.000 0.000
Pa 0.245 0.000 0.772
Pa 0.259 0.500 0.228
Pa 0.741 0.500 0.772
Pa 0.755 0.000 0.228
Ni 0.000 0.500 0.500

---

No. 10
! PuPa4Ni4 PBE relaxed; values from VASP
! N(E_F) = 13.79 states/eV per cell
! Calculated formation energy = -68 meV per atom
! Uncorrected energy = -8.45 eV/atom
! Theoretical density = 12.600 g/cm³
&SYSTEM
  ibrav = 0, nat = 9, ntyp = 3
/
ATOMIC_SPECIES
Pu 244.00 Pu.upf
Pa 231.04 Pa.upf
Ni 58.69 Ni.upf
CELL_PARAMETERS angstrom
0.000 4.018 5.732
4.014 0.000 5.732
4.014 4.018 0.000
ATOMIC_POSITIONS crystal
Pu 0.000 0.000 0.000
Pa 0.129 0.608 0.392
Pa 0.392 0.871 0.608
Pa 0.608 0.129 0.871
Pa 0.871 0.392 0.129
Ni 0.132 0.598 0.868
Ni 0.402 0.869 0.131
Ni 0.598 0.132 0.402
Ni 0.869 0.402 0.598

---

No. 11
! PuPaNi2 PBE relaxed; values from VASP
! Energy above the most stable polymorph in this dataset = 0.053 eV/atom
! N(E_F) = 10.37 states/eV per cell
! Calculated formation energy = -110 meV per atom
! Uncorrected energy = -8.96 eV/atom
! Theoretical density = 13.198 g/cm³
&SYSTEM
  ibrav = 0, nat = 4, ntyp = 3
/
ATOMIC_SPECIES
Pu 244.00 Pu.upf
Pa 231.04 Pa.upf
Ni 58.69 Ni.upf
CELL_PARAMETERS angstrom
0.000 3.340 3.340
3.340 0.000 3.340
3.340 3.340 0.000
ATOMIC_POSITIONS crystal
Pu 0.000 0.000 0.000
Pa 0.500 0.500 0.500
Ni 0.250 0.250 0.250
Ni 0.750 0.750 0.750

---

No. 12
! Pu2Pa2Ni15 PBE relaxed; values from VASP
! N(E_F) = 43.06 states/eV per cell
! Calculated formation energy = -213 meV per atom
! Uncorrected energy = -7.29 eV/atom
! Theoretical density = 11.492 g/cm³
&SYSTEM
  ibrav = 0, nat = 19, ntyp = 3
/
ATOMIC_SPECIES
Pu 244.00 Pu.upf
Pa 231.04 Pa.upf
Ni 58.69 Ni.upf
CELL_PARAMETERS angstrom
4.255 2.456 4.218
-4.255 2.456 4.218
0.000 -4.913 4.218
ATOMIC_POSITIONS crystal
Pu 0.141 0.141 0.141
Pu 0.859 0.859 0.859
Pa 0.386 0.386 0.386
Pa 0.614 0.614 0.614
Ni 0.000 0.500 0.500
Ni 0.154 0.154 0.666
Ni 0.154 0.666 0.154
Ni 0.188 0.500 0.812
Ni 0.188 0.812 0.500
Ni 0.334 0.846 0.846
Ni 0.500 0.000 0.500
Ni 0.500 0.188 0.812
Ni 0.500 0.500 0.000
Ni 0.500 0.812 0.188
Ni 0.666 0.154 0.154
Ni 0.812 0.188 0.500
Ni 0.812 0.500 0.188
Ni 0.846 0.334 0.846
Ni 0.846 0.846 0.334